Material: Pu2HfIn
Method: DFT, PBE-GGA
State: relaxed

a = 4.950 Å, b = 4.380 Å, c = 4.380 Å
α = 90.00°, β = 90.00°, γ = 90.00°
Site moments in Bohr magnetons follow the coordinates.
Atoms (fractional coordinates):
Hf 0.500 0.500 0.500  -0.02
Pu 0.000 0.500 0.000  5.32
Pu 0.000 0.000 0.500  5.32
In 0.500 0.000 0.000  -0.07

Energy relative to the lowest polymorph listed for this composition in kJ per mole of atoms: 0.0
Total magnetic moment in μB per atom: 2.740


Material: TcMoP2
Method: DFT, PBE-GGA
State: relaxed

a = 3.048 Å, b = 3.048 Å, c = 7.224 Å
α = 77.82°, β = 77.82°, γ = 60.00°
Atoms (fractional coordinates):
Mo 0.662 0.662 0.013
Tc 0.504 0.504 0.487
P 0.085 0.085 0.744
P 0.248 0.248 0.256

Energy relative to the lowest polymorph listed for this composition in kJ per mole of atoms: 19.6
Total magnetic moment in μB per atom: 0.000


Material: Ca2ScTl
Method: DFT, PBE-GGA
State: relaxed

a = 7.808 Å, b = 5.939 Å, c = 3.635 Å
α = 89.99°, β = 62.26°, γ = 120.99°
Atoms (fractional coordinates):
Sc 0.000 0.500 0.500
Tl 0.500 0.500 0.000
Ca 0.500 0.000 0.500
Ca 0.000 0.000 0.000

Energy relative to the lowest polymorph listed for this composition in kJ per mole of atoms: 8.0
Total magnetic moment in μB per atom: 0.000


Material: LaPaAs
Method: DFT, PBE-GGA
State: relaxed

a = 5.686 Å, b = 3.947 Å, c = 3.947 Å
α = 120.00°, β = 90.00°, γ = 90.00°
Atoms (fractional coordinates):
Pa 0.321 0.333 0.667
La 0.660 0.667 0.333
As 0.019 0.000 0.000

Energy relative to the lowest polymorph listed for this composition in kJ per mole of atoms: 0.0
Total magnetic moment in μB per atom: 0.000